# 1
Compound: PPb2Se2
Source: Alexandria via LeMat-Bulk
Functional: PBE-GGA
Structure: relaxed

## Properties
Magnetic moment, μB/f.u.: 0.000
Uncorrected formation energy, meV per atom: -117
Electronic total energy, eV per atom: -4.077

Cell: 5.945 11.395 3.874 Å, 90.00 90.00 90.00°
Space group Pbam (No. 55)
Unique sites:
P  0.000  0.000  0.000
Pb  0.232  0.360  0.500
Se  0.176  0.647  0.000

***

# 2
Compound: PrErPu2
Source: Alexandria via LeMat-Bulk
Functional: PBE-GGA
Structure: relaxed

## Properties
Magnetic moment, μB/f.u.: 12.407
Electronic total energy, eV per atom: -9.290
Formation energy from the elements, meV/atom: 212

Cell: 4.869 4.869 5.053 Å, 90.00 90.00 90.00°
Space group P4/mmm (No. 123)
Unique sites:
Pr  0.000  0.000  0.000
Er  0.500  0.500  0.000
Pu  0.000  0.500  0.500

***

# 3
Compound: Ca2Zn2In
Source: Alexandria via LeMat-Bulk
Functional: PBE-GGA
Structure: relaxed

## Properties
Magnetic moment, μB/f.u.: 0.000
Electronic total energy, eV per atom: -2.186
Formation energy from the elements, meV/atom: -329

Cell: 4.610 5.750 9.333 Å, 90.00 90.00 90.00°
Space group Immm (No. 71)
Unique sites:
Ca  0.000  0.000  0.201
Zn  0.000  0.280  0.500
In  0.000  0.500  0.000

***

# 4
Compound: PmHoSe2
Source: Alexandria via LeMat-Bulk
Functional: PBE-GGA
Structure: relaxed

## Properties
Magnetic moment, μB/f.u.: 0.000
Uncorrected formation energy, meV per atom: -1783
Distance to the lowest polymorph of the same formula, eV/atom: 0.0036
Electronic total energy, eV per atom: -5.858

Cell: 4.1013 4.1013 20.4667 Å, 90.00 90.00 120.00°
Space group R-3m (No. 166, hexagonal axes)
Unique sites:
Pm  0.0000  0.0000  0.0000
Ho  0.0000  0.0000  0.5000
Se  0.0000  0.0000  0.2454

***

# 5
Compound: Ac2In4AgHg3
Source: Alexandria via LeMat-Bulk
Functional: PBE-GGA
Structure: relaxed

## Properties
Magnetic moment, μB/f.u.: 0.000
Electronic total energy, eV per atom: -2.627
Formation energy from the elements, meV/atom: -334

Cell: 4.817 4.817 11.865 Å, 90.00 90.00 90.00°
Space group P-4m2 (No. 115)
Unique sites:
Ac  0.000  0.500  0.241
In  0.000  0.000  0.500
In  0.000  0.500  0.874
In  0.500  0.500  0.500
Ag  0.500  0.500  0.000
Hg  0.000  0.000  0.000
Hg  0.000  0.500  0.642

***

# 6
Compound: LuTi2Mo
Source: Alexandria via LeMat-Bulk
Functional: PBE-GGA
Structure: relaxed

## Properties
Magnetic moment, μB/f.u.: 0.002
Distance to the lowest polymorph of the same formula, eV/atom: 0.0000
Electronic total energy, eV per atom: -7.763
Formation energy from the elements, meV/atom: 23

Cell: 3.299 3.299 7.102 Å, 90.00 90.00 90.00°
Space group P4/mmm (No. 123)
Unique sites:
Lu  0.000  0.000  0.000
Ti  0.500  0.500  0.304
Mo  0.000  0.000  0.500

***

# 7
Compound: BSb2Rh6
Source: Alexandria via LeMat-Bulk
Functional: PBE-GGA
Structure: relaxed

## Properties
Magnetic moment, μB/f.u.: 0.000
Uncorrected formation energy, meV per atom: -352
Electronic total energy, eV per atom: -6.911

Cell: 9.944 5.740 5.739 Å, 90.00 125.08 90.00°
Space group C2/m (No. 12)
Unique sites:
B  0.000  0.000  0.000
Sb  0.249  0.000  0.741
Rh  0.025  0.255  0.281
Rh  0.246  0.500  0.800

***

# 8
Compound: Hf2ZrSe
Source: Alexandria via LeMat-Bulk
Functional: PBE-GGA
Structure: relaxed

## Properties
Magnetic moment, μB/f.u.: 0.000
Uncorrected formation energy, meV per atom: -619
Electronic total energy, eV per atom: -8.604

Cell: 3.668 10.307 8.639 Å, 90.00 90.00 90.00°
Space group Cmcm (No. 63)
Unique sites:
Hf  0.000  0.136  0.042
Zr  0.000  0.444  0.250
Se  0.000  0.270  0.750

***

# 9
Compound: Sr3Tl2In2
Source: Alexandria via LeMat-Bulk
Functional: PBE-GGA
Structure: relaxed

## Properties
Magnetic moment, μB/f.u.: 0.000
Electronic total energy, eV per atom: -2.562
Formation energy from the elements, meV/atom: -382

Cell: 12.623 4.711 8.998 Å, 90.00 112.15 90.00°
Space group C2/m (No. 12)
Unique sites:
Sr  0.000  0.000  0.000
Sr  0.178  0.000  0.642
Tl  0.045  0.500  0.338
In  0.185  0.500  0.934

***

# 10
Compound: InIrRh2
Source: Alexandria via LeMat-Bulk
Functional: PBE-GGA
Structure: relaxed

## Properties
Magnetic moment, μB/f.u.: 0.000
Electronic total energy, eV per atom: -6.640
Formation energy from the elements, meV/atom: -64

Cell: 2.854 3.835 5.735 Å, 90.00 90.00 90.00°
Space group Pmmm (No. 47)
Unique sites:
In  0.000  0.000  0.000
Ir  0.000  0.000  0.500
Rh  0.500  0.500  0.267

***

# 11
Compound: Zr2AlPt
Source: Alexandria via LeMat-Bulk
Functional: PBE-GGA
Structure: relaxed

## Properties
Magnetic moment, μB/f.u.: 0.000
Electronic total energy, eV per atom: -7.415
Formation energy from the elements, meV/atom: -695

Cell: 4.224 4.224 4.190 Å, 90.00 90.00 90.00°
Space group P4/mmm (No. 123)
Unique sites:
Zr  0.000  0.500  0.000
Al  0.000  0.000  0.500
Pt  0.500  0.500  0.500

***

# 12
Compound: ThAs8O18
Source: Alexandria via LeMat-Bulk
Functional: PBE-GGA
Structure: relaxed

## Properties
Magnetic moment, μB/f.u.: 0.000
Uncorrected formation energy, meV per atom: -1491
Electronic total energy, eV per atom: -6.449

Cell: 18.583 5.302 17.826 Å, 90.00 99.39 90.00°
Space group C2/c (No. 15)
Unique sites:
Th  0.000  0.218  0.250
As  0.002  0.276  0.594
As  0.123  0.323  0.483
As  0.150  0.285  0.776
As  0.189  0.360  0.139
O  0.032  0.027  0.864
O  0.042  0.484  0.149
O  0.066  0.151  0.542
O  0.070  0.379  0.977
O  0.098  0.485  0.307
O  0.105  0.029  0.735
O  0.192  0.433  0.558
O  0.209  0.395  0.715
O  0.212  0.202  0.858